Entry from Alexandria: a relaxed KYAu2 crystal (GGA-PBEsol).

## Properties
ΔE_f ... -0.34 eV per atom
E above lowest polymorph ... 188 meV per atom
Raw total energy ... -4.295 eV/atom
Crystal system ... monoclinic

abc: 4.0171 4.0480 8.4602
angles: 103.59 90.00 119.75
With the nearest neighbours (Å) after each atom.
Positions (direct):
Au1 0.7347 0.4694 0.7045  3 Y 2.86-2.87
Au2 0.2653 0.5306 0.2955  3 Y 2.86-2.87
K1 0.5000 0.0000 0.0000  6 Au 3.35
Y1 0.0000 0.0000 0.5000  6 Au 2.86-2.87

---

Entry from Alexandria: a relaxed LaPdBr2 crystal (GGA-PBEsol).

## Properties
Raw total energy ... -4.718 eV/atom
Formation energy without anion corrections ... -0.957 eV/atom
Crystal system ... cubic

abc: 5.0388 5.0388 5.0388
angles: 60.00 60.00 60.00
With the nearest neighbours (Å) after each atom.
Positions (direct):
Br1 0.2500 0.2500 0.2500  4 La 3.09, 4 Pd 3.09
Br2 0.7500 0.7500 0.7500  4 La 3.09, 4 Pd 3.09
Pd1 0.0000 0.0000 0.0000  8 Br 3.09
La1 0.5000 0.5000 0.5000  8 Br 3.09

---

Entry from Alexandria: a relaxed ScCoH2Pd crystal (GGA-PBEsol).

## Properties
Raw total energy ... -5.005 eV/atom
Crystal system ... tetragonal

abc: 3.5439 3.5439 4.9935
angles: 90.00 90.00 90.00
With the nearest neighbours (Å) after each atom.
Positions (direct):
Sc1 0.0000 0.0000 0.0000  4 H 1.77
H1 0.0000 0.5000 0.0000  2 Sc 1.77
H2 0.5000 0.0000 0.0000  2 Sc 1.77
Co1 0.0000 0.0000 0.5000  2 Sc 2.50, 4 Pd 2.51
Pd1 0.5000 0.5000 0.5000  4 Co 2.51